Compound: Pr7YCd4
Source: Alexandria
Functional: PBE-GGA
Structure: optimized geometry

Cell: 5.906 9.312 8.144 Å, 70.58 68.74 71.51°
Element x y z (fractional)
Cd: 0.542 0.283 0.634
Cd: 0.681 0.657 0.981
Cd: 0.458 0.717 0.366
Cd: 0.319 0.343 0.019
Pr: 0.794 0.885 0.527
Pr: 0.265 0.691 0.779
Pr: 0.206 0.115 0.473
Pr: 0.500 0.000 0.000
Pr: 0.735 0.309 0.221
Pr: 0.068 0.593 0.270
Pr: 0.932 0.407 0.730
Y: 0.000 0.000 0.000

Summary:
For the calculated volume, the calculation gives 32.0 A^3/atom. Its energy of formation from the pure elements is -0.030 eV/atom. The total energy comes out at -3.662 eV per atom. Its total magnetic moment is 0.0 μB/f.u.